1.
First-principles (GGA-PBE) data for crystalline Tb3CdN at its relaxed geometry, as listed in the Open Quantum Materials Database.

Results
Magnetic moment: 0.001 μB per atom
Electronic total energy: -27.3 eV/cell
Calculated volume: 22.71 A^3/atom

CIF file:
```
data_Tb3CdN
_chemical_formula_sum 'Tb3 Cd1 N1'
_cell_length_a 4.8423
_cell_length_b 4.8423
_cell_length_c 4.8423
_cell_angle_alpha 90.00
_cell_angle_beta 90.00
_cell_angle_gamma 90.00
_space_group_name_H-M_alt 'P m -3 m'
_space_group_IT_number 221
_space_group_name_Hall '-P 4 2 3'
loop_
_atom_site_label
_atom_site_fract_x
_atom_site_fract_y
_atom_site_fract_z
Tb1 0.0000 0.0000 0.5000
Cd1 0.5000 0.5000 0.5000
N1 0.0000 0.0000 0.0000
```



2.
First-principles (GGA-PBE) data for crystalline TlCdW4N2 at its relaxed geometry, as listed in the Open Quantum Materials Database.

Results
Magnetic moment: 0.000 μB per atom
Electronic total energy: -68.5 eV/cell
Calculated volume: 14.29 A^3/atom

CIF file:
```
data_TlCdW4N2
_chemical_formula_sum 'Tl1 Cd1 W4 N2'
_cell_length_a 2.8997
_cell_length_b 2.8997
_cell_length_c 15.7036
_cell_angle_alpha 90.00
_cell_angle_beta 90.00
_cell_angle_gamma 120.00
_space_group_name_H-M_alt 'P -6 m 2'
_space_group_IT_number 187
_space_group_name_Hall 'P -6 2'
loop_
_atom_site_label
_atom_site_fract_x
_atom_site_fract_y
_atom_site_fract_z
Tl1 0.0000 0.0000 0.0000
Cd1 0.3333 0.6667 0.5000
W1 0.0000 0.0000 0.3414
W2 0.3333 0.6667 0.1608
N1 0.6667 0.3333 0.2507
```



3.
First-principles (GGA-PBE) data for crystalline Y4TlCdN2 at its relaxed geometry, as listed in the Open Quantum Materials Database.

Results
Magnetic moment: 0.000 μB per atom
Electronic total energy: -53.4 eV/cell
Calculated volume: 21.26 A^3/atom

CIF file:
```
data_Y4TlCdN2
_chemical_formula_sum 'Y4 Tl1 Cd1 N2'
_cell_length_a 3.5269
_cell_length_b 3.5269
_cell_length_c 15.7883
_cell_angle_alpha 90.00
_cell_angle_beta 90.00
_cell_angle_gamma 120.00
_space_group_name_H-M_alt 'P -6 m 2'
_space_group_IT_number 187
_space_group_name_Hall 'P -6 2'
loop_
_atom_site_label
_atom_site_fract_x
_atom_site_fract_y
_atom_site_fract_z
Y1 0.0000 0.0000 0.1632
Y2 0.3333 0.6667 0.3332
Tl1 0.0000 0.0000 0.5000
Cd1 0.3333 0.6667 0.0000
N1 0.6667 0.3333 0.2505
```



4.
First-principles (GGA-PBE) data for crystalline Tm3CdN at its relaxed geometry, as listed in the Open Quantum Materials Database.

Results
Magnetic moment: 0.000 μB per atom
Electronic total energy: -27.1 eV/cell
Calculated volume: 21.18 A^3/atom

CIF file:
```
data_Tm3CdN
_chemical_formula_sum 'Tm3 Cd1 N1'
_cell_length_a 4.7310
_cell_length_b 4.7310
_cell_length_c 4.7310
_cell_angle_alpha 90.00
_cell_angle_beta 90.00
_cell_angle_gamma 90.00
_space_group_name_H-M_alt 'P m -3 m'
_space_group_IT_number 221
_space_group_name_Hall '-P 4 2 3'
loop_
_atom_site_label
_atom_site_fract_x
_atom_site_fract_y
_atom_site_fract_z
Tm1 0.0000 0.0000 0.5000
Cd1 0.5000 0.5000 0.5000
N1 0.0000 0.0000 0.0000
```



5.
First-principles (GGA-PBE) data for crystalline UCd2N6 at its relaxed geometry, as listed in the Open Quantum Materials Database.

Results
Magnetic moment: 0.002 μB per atom
Electronic total energy: -52.3 eV/cell
Calculated volume: 14.60 A^3/atom

CIF file:
```
data_UCd2N6
_chemical_formula_sum 'U1 Cd2 N6'
_cell_length_a 3.6745
_cell_length_b 3.6745
_cell_length_c 9.7312
_cell_angle_alpha 90.00
_cell_angle_beta 90.00
_cell_angle_gamma 90.00
_space_group_name_H-M_alt 'P 4/m m m'
_space_group_IT_number 123
_space_group_name_Hall '-P 4 2'
loop_
_atom_site_label
_atom_site_fract_x
_atom_site_fract_y
_atom_site_fract_z
U1 0.0000 0.0000 0.0000
Cd1 0.5000 0.5000 0.2915
N1 0.0000 0.5000 0.1418
N2 0.5000 0.5000 0.0000
N3 0.5000 0.5000 0.5000
```



6.
First-principles (GGA-PBE) data for crystalline CdW2N at its relaxed geometry, as listed in the Open Quantum Materials Database.

Results
Magnetic moment: 0.000 μB per atom
Electronic total energy: -68.4 eV/cell
Calculated volume: 13.98 A^3/atom

CIF file:
```
data_CdW2N
_chemical_formula_sum 'Cd2 W4 N2'
_cell_length_a 2.8637
_cell_length_b 2.8637
_cell_length_c 15.7419
_cell_angle_alpha 90.00
_cell_angle_beta 90.00
_cell_angle_gamma 120.00
_space_group_name_H-M_alt 'P 63/m m c'
_space_group_IT_number 194
_space_group_name_Hall '-P 6c 2c'
loop_
_atom_site_label
_atom_site_fract_x
_atom_site_fract_y
_atom_site_fract_z
Cd1 0.3333 0.6667 0.2500
W1 0.3333 0.6667 0.5909
N1 0.0000 0.0000 0.0000
```



7.
First-principles (GGA-PBE) data for crystalline CdW2N at its relaxed geometry, as listed in the Open Quantum Materials Database.

Results
Magnetic moment: 0.000 μB per atom
Electronic total energy: -136.9 eV/cell
Calculated volume: 13.98 A^3/atom

CIF file:
```
data_CdW2N
_chemical_formula_sum 'Cd4 W8 N4'
_cell_length_a 2.8622
_cell_length_b 4.9604
_cell_length_c 15.7551
_cell_angle_alpha 90.00
_cell_angle_beta 90.00
_cell_angle_gamma 90.00
_space_group_name_H-M_alt 'C m c m'
_space_group_IT_number 63
_space_group_name_Hall '-C 2c 2'
loop_
_atom_site_label
_atom_site_fract_x
_atom_site_fract_y
_atom_site_fract_z
Cd1 0.0000 0.1632 0.2500
W1 0.0000 0.1670 0.5909
N1 0.0000 0.5000 0.0000
```



8.
First-principles (GGA-PBE) data for crystalline Y4Cd3W2N3 at its relaxed geometry, as listed in the Open Quantum Materials Database.

Results
Magnetic moment: 0.001 μB per atom
Electronic total energy: -347.7 eV/cell
Calculated volume: 18.13 A^3/atom

CIF file:
```
data_Y4Cd3W2N3
_chemical_formula_sum 'Y16 Cd12 W8 N12'
_cell_length_a 10.1343
_cell_length_b 5.9139
_cell_length_c 14.9241
_cell_angle_alpha 90.00
_cell_angle_beta 103.39
_cell_angle_gamma 90.00
_space_group_name_H-M_alt 'C 1 2/c 1'
_space_group_IT_number 15
_space_group_name_Hall '-C 2yc'
loop_
_atom_site_label
_atom_site_fract_x
_atom_site_fract_y
_atom_site_fract_z
Y1 0.1161 0.0755 0.0950
Y2 0.2137 0.0884 0.4048
Cd1 0.0000 0.1424 0.7500
Cd2 0.1383 0.4435 0.2478
W1 0.0655 0.4148 0.9382
N1 0.0802 0.2587 0.5000
N2 0.2500 0.2500 0.0000
```